No. 1
ScTi3Ag | PBE-GGA | relaxed

```
ScTi3Ag
1.0
4.900 0.000 0.000
0.000 4.900 0.000
0.000 0.000 4.900
Ag Ti Sc
1 3 1
Direct
0.000 0.000 0.000 Ag
0.000 0.000 0.500 Ti
0.500 0.000 0.000 Ti
0.000 0.500 0.000 Ti
0.500 0.500 0.500 Sc
```

Space-group type = Pm-3m, No. 221
Final energy = -5.632 eV/atom
Energy above the lowest structure with this stoichiometry = 0 meV/atom
DOS(E_F) = 8.36 states/eV per cell



No. 2
ScTiAg | PBE-GGA | relaxed

```
ScTiAg
1.0
3.836 -2.214 0.000
0.000 4.429 0.000
0.000 0.000 10.167
Sc Ti Ag
2 2 2
Direct
0.000 0.000 0.250 Sc
0.000 0.000 0.750 Sc
0.000 0.000 0.000 Ti
0.000 0.000 0.500 Ti
0.667 0.333 0.750 Ag
0.333 0.667 0.250 Ag
```

Space-group type = P6_3/mmc, No. 194
Final energy = -4.275 eV/atom
Energy above the lowest structure with this stoichiometry = 1530 meV/atom
DOS(E_F) = 6.57 states/eV per cell



No. 3
ScTiAg | PBE-GGA | relaxed

```
ScTiAg
1.0
4.878 0.000 -0.008
0.000 3.104 0.000
1.130 -0.001 7.715
Ti Sc Ag
2 2 2
Direct
0.723 0.175 0.476 Ti
0.243 0.675 0.391 Ti
0.156 0.175 0.724 Sc
0.810 0.675 0.143 Sc
0.329 0.175 0.074 Ag
0.636 0.675 0.792 Ag
```

Space-group type = P2_1/m, No. 11
Final energy = -5.740 eV/atom
Energy above the lowest structure with this stoichiometry = 65 meV/atom
DOS(E_F) = 3.50 states/eV per cell



No. 4
ScTiAg | PBE-GGA | relaxed

```
ScTiAg
1.0
3.009 0.001 0.211
-0.002 3.017 0.006
-0.892 -0.026 12.753
Sc Ti Ag
2 2 2
Direct
0.372 0.791 0.005 Sc
0.873 0.291 0.508 Sc
0.872 0.291 0.832 Ti
0.373 0.791 0.680 Ti
0.372 0.791 0.337 Ag
0.872 0.291 0.175 Ag
```

Space-group type = P4/nmm, No. 129
Final energy = -5.714 eV/atom
Energy above the lowest structure with this stoichiometry = 91 meV/atom
DOS(E_F) = 9.06 states/eV per cell



No. 5
ScTiAg | PBE-GGA | relaxed

```
ScTiAg
1.0
-5.683 -2.622 -1.437
2.029 -2.770 -2.970
1.075 -5.585 5.942
Ag Sc Ti
4 4 4
Direct
0.229 0.250 0.121 Ag
0.729 0.250 0.379 Ag
0.771 0.750 0.879 Ag
0.271 0.750 0.621 Ag
0.537 0.250 0.690 Sc
0.963 0.750 0.190 Sc
0.463 0.750 0.310 Sc
0.037 0.250 0.810 Sc
0.362 0.750 0.943 Ti
0.638 0.250 0.057 Ti
0.862 0.750 0.557 Ti
0.138 0.250 0.443 Ti
```

Space-group type = Pnma, No. 62
Final energy = -5.660 eV/atom
Energy above the lowest structure with this stoichiometry = 145 meV/atom
DOS(E_F) = 9.70 states/eV per cell



No. 6
ScTiAg | PBE-GGA | relaxed

```
ScTiAg
1.0
-1.461 -1.541 4.267
2.878 0.404 1.131
-3.245 7.054 1.436
Ag Ti Sc
2 2 2
Direct
0.666 0.562 0.806 Ag
0.166 0.688 0.061 Ag
0.666 0.897 0.479 Ti
0.166 0.353 0.388 Ti
0.666 0.228 0.141 Sc
0.166 0.021 0.725 Sc
```

Space-group type = P2_1/m, No. 11
Final energy = -5.785 eV/atom
Energy above the lowest structure with this stoichiometry = 20 meV/atom
DOS(E_F) = 4.97 states/eV per cell



No. 7
ScTiAg | PBE-GGA | relaxed

```
ScTiAg
1.0
-1.032 2.859 3.338
-4.278 1.309 0.609
-2.319 -1.461 3.588
Ti Ag Sc
1 1 1
Direct
0.500 0.500 0.500 Ti
0.750 0.750 0.750 Ag
0.250 0.250 0.250 Sc
```

Space-group type = F-43m, No. 216
Final energy = -4.986 eV/atom
Energy above the lowest structure with this stoichiometry = 819 meV/atom
DOS(E_F) = 4.74 states/eV per cell



No. 8
ScTiTlAg | PBE-GGA | relaxed

```
ScTiTlAg
1.0
-3.924 1.142 2.636
-0.905 -2.353 4.158
0.514 2.297 4.255
Sc Ti Tl Ag
1 1 1 1
Direct
0.750 0.750 0.750 Sc
0.250 0.250 0.250 Ti
0.000 0.000 0.000 Tl
0.500 0.500 0.500 Ag
```

Space-group type = F-43m, No. 216
Final energy = -4.927 eV/atom
DOS(E_F) = 2.43 states/eV per cell



No. 9
ScTi2ZnAg | PBE-GGA | relaxed

```
ScTi2ZnAg
1.0
-0.025 -3.981 -2.835
0.644 -2.927 4.105
-4.848 -0.339 0.519
Sc Ti Ag Zn
1 2 1 1
Direct
0.000 0.500 0.000 Sc
0.000 0.000 0.500 Ti
0.500 0.000 0.000 Ti
0.000 0.000 0.000 Ag
0.500 0.500 0.500 Zn
```

Space-group type = P4/mmm, No. 123
Final energy = -4.341 eV/atom
DOS(E_F) = 9.07 states/eV per cell



No. 10
Sc7Tl2Ag2 | PBE-GGA | relaxed

```
Sc7Tl2Ag2
1.0
-4.035 -3.243 -3.938
5.451 -2.417 -3.595
1.539 -3.911 4.964
Tl Sc Ag
2 7 2
Direct
0.189 0.500 0.189 Tl
0.811 0.500 0.811 Tl
0.500 0.730 0.000 Sc
0.500 0.247 0.500 Sc
0.000 0.000 0.000 Sc
0.500 0.270 0.000 Sc
0.500 0.753 0.500 Sc
0.000 0.270 0.500 Sc
0.000 0.730 0.500 Sc
0.288 0.000 0.712 Ag
0.712 0.000 0.288 Ag
```

Space-group type = Cmmm, No. 65
Final energy = -4.889 eV/atom
DOS(E_F) = 14.41 states/eV per cell



No. 11
Sc2TlAg | PBE-GGA | relaxed

```
Sc2TlAg
1.0
-5.207 -2.165 0.762
-0.358 -5.679 0.085
3.212 3.940 2.559
Sc Tl Ag
2 1 1
Direct
0.000 0.000 0.000 Sc
0.250 0.750 0.500 Sc
0.500 0.500 0.000 Tl
0.750 0.250 0.500 Ag
```

Space-group type = I-4m2, No. 119
Final energy = -4.614 eV/atom
Energy above the lowest structure with this stoichiometry = 152 meV/atom
DOS(E_F) = 4.87 states/eV per cell



No. 12
Sc4Tl2Ag3 | PBE-GGA | relaxed

```
Sc4Tl2Ag3
1.0
-1.958 4.208 -0.826
-2.572 0.581 -4.393
-8.073 -3.234 2.664
Tl Ag Sc
2 3 4
Direct
0.305 0.390 0.764 Tl
0.695 0.610 0.236 Tl
0.348 0.304 0.437 Ag
0.000 0.000 0.000 Ag
0.652 0.696 0.563 Ag
0.027 0.945 0.333 Sc
0.652 0.696 0.892 Sc
0.973 0.055 0.667 Sc
0.348 0.304 0.108 Sc
```

Space-group type = C2/m, No. 12
Final energy = -4.497 eV/atom
DOS(E_F) = 7.04 states/eV per cell



No. 13
Sc4Tl2Ag | PBE-GGA | relaxed

```
Sc4Tl2Ag
1.0
-4.543 0.893 1.961
-2.920 -3.836 1.430
0.443 -0.724 7.804
Sc Tl Ag
4 2 1
Direct
0.573 0.573 0.282 Sc
0.146 0.146 0.562 Sc
0.854 0.854 0.438 Sc
0.427 0.427 0.718 Sc
0.720 0.720 0.840 Tl
0.280 0.280 0.160 Tl
0.000 0.000 0.000 Ag
```

Space-group type = R-3m, No. 166
Final energy = -4.778 eV/atom
DOS(E_F) = 7.01 states/eV per cell



No. 14
Sc6TlAg5 | PBE-GGA | relaxed

```
Sc6TlAg5
1.0
4.614 -0.027 1.538
0.038 7.036 0.013
0.002 -0.014 7.686
Ag Sc Tl
5 6 1
Direct
0.333 0.000 0.334 Ag
0.000 0.500 0.000 Ag
0.667 0.000 0.666 Ag
0.665 0.500 0.669 Ag
0.335 0.500 0.331 Ag
0.830 0.744 0.339 Sc
0.831 0.256 0.339 Sc
0.170 0.256 0.661 Sc
0.500 0.741 0.000 Sc
0.500 0.259 0.000 Sc
0.169 0.744 0.661 Sc
0.000 0.000 0.000 Tl
```

Space-group type = Cmmm, No. 65
Final energy = -4.829 eV/atom
DOS(E_F) = 8.10 states/eV per cell



No. 15
ScTlAg | PBE-GGA | relaxed

```
ScTlAg
1.0
5.425 -1.029 1.619
2.425 2.259 0.092
-0.819 0.663 5.040
Ag Sc Tl
1 1 1
Direct
0.500 0.500 0.000 Ag
0.000 0.500 0.000 Sc
0.000 0.000 0.500 Tl
```

Space-group type = P-1, No. 2
Final energy = -3.792 eV/atom
DOS(E_F) = 2.34 states/eV per cell



No. 16
Sc3TlAg2 | PBE-GGA | relaxed

```
Sc3TlAg2
1.0
3.460 0.000 0.000
0.000 3.460 0.000
0.000 0.000 10.667
Ag Sc Tl
2 3 1
Direct
0.500 0.500 0.161 Ag
0.500 0.500 0.839 Ag
0.000 0.000 0.319 Sc
0.000 0.000 0.000 Sc
0.000 0.000 0.681 Sc
0.500 0.500 0.500 Tl
```

Space-group type = P4/mmm, No. 123
Final energy = -4.789 eV/atom
DOS(E_F) = 5.05 states/eV per cell



No. 17
ScTlAg4 | PBE-GGA | relaxed

```
ScTlAg4
1.0
3.853 -2.292 -3.282
3.644 -3.626 2.107
-0.340 -5.380 -1.345
Ag Sc Tl
4 1 1
Direct
0.375 0.375 0.375 Ag
0.375 0.375 0.874 Ag
0.375 0.874 0.375 Ag
0.874 0.375 0.375 Ag
0.750 0.750 0.750 Sc
0.000 0.000 0.000 Tl
```

Space-group type = F-43m, No. 216
Final energy = -3.395 eV/atom
DOS(E_F) = 1.22 states/eV per cell



No. 18
Sc6Tl2Ag | PBE-GGA | relaxed

```
Sc6Tl2Ag
1.0
-2.782 1.710 1.386
-3.468 0.434 -7.499
-1.542 -6.481 4.902
Sc Tl Ag
6 2 1
Direct
0.500 0.614 0.000 Sc
0.500 0.000 0.614 Sc
0.000 0.268 0.000 Sc
0.000 0.000 0.268 Sc
0.500 0.386 0.386 Sc
0.000 0.732 0.732 Sc
0.000 0.333 0.667 Tl
0.000 0.667 0.333 Tl
0.500 0.000 0.000 Ag
```

Space-group type = P-62m, No. 189
Final energy = -5.271 eV/atom
Energy above the lowest structure with this stoichiometry = 0 meV/atom
DOS(E_F) = 11.77 states/eV per cell



No. 19
Sc2TlAg | PBE-GGA | relaxed

```
Sc2TlAg
1.0
-2.313 2.572 -0.773
-3.417 -2.223 2.830
1.569 2.592 3.930
Sc Ag Tl
2 1 1
Direct
0.000 0.500 0.000 Sc
0.000 0.000 0.500 Sc
0.500 0.000 0.000 Ag
0.500 0.500 0.500 Tl
```

Space-group type = P4/mmm, No. 123
Final energy = -4.746 eV/atom
Energy above the lowest structure with this stoichiometry = 20 meV/atom
DOS(E_F) = 4.17 states/eV per cell



No. 20
Sc4TlAg2 | PBE-GGA | relaxed

```
Sc4TlAg2
1.0
-0.109 -4.539 1.767
-0.727 -3.766 -3.003
7.342 -3.374 -1.497
Ag Sc Tl
2 4 1
Direct
0.255 0.255 0.234 Ag
0.745 0.745 0.766 Ag
0.611 0.611 0.168 Sc
0.389 0.389 0.832 Sc
0.133 0.133 0.602 Sc
0.867 0.867 0.398 Sc
0.000 0.000 0.000 Tl
```

Space-group type = R-3m, No. 166
Final energy = -4.883 eV/atom
DOS(E_F) = 9.60 states/eV per cell



No. 21
Sc2TlAg | PBE-GGA | relaxed

```
Sc2TlAg
1.0
9.444 0.050 0.030
8.809 3.404 0.030
8.809 1.667 2.968
Tl Sc Ag
1 2 1
Direct
0.250 0.250 0.250 Tl
0.005 0.005 0.005 Sc
0.495 0.495 0.495 Sc
0.750 0.750 0.750 Ag
```

Space-group type = R-3m, No. 166
Final energy = -4.563 eV/atom
Energy above the lowest structure with this stoichiometry = 203 meV/atom
DOS(E_F) = 5.32 states/eV per cell



No. 22
Sc8TlAg2 | PBE-GGA | relaxed

```
Sc8TlAg2
1.0
4.550 0.000 -1.469
-1.132 6.714 -3.504
0.078 0.237 8.022
Ag Sc Tl
2 8 1
Direct
0.787 0.378 0.574 Ag
0.213 0.622 0.426 Ag
0.060 0.728 0.120 Sc
0.849 0.792 0.697 Sc
0.151 0.208 0.303 Sc
0.599 0.463 0.198 Sc
0.940 0.272 0.880 Sc
0.401 0.537 0.802 Sc
0.687 0.958 0.373 Sc
0.313 0.042 0.627 Sc
0.500 0.000 0.000 Tl
```

Space-group type = C2/m, No. 12
Final energy = -5.477 eV/atom
Energy above the lowest structure with this stoichiometry = 0 meV/atom
DOS(E_F) = 15.71 states/eV per cell



No. 23
ScTl4Ag | PBE-GGA | relaxed

```
ScTl4Ag
1.0
0.000 4.390 4.390
4.390 0.000 4.390
4.390 4.390 0.000
Sc Ag Tl
1 1 4
Direct
0.000 0.000 0.000 Sc
0.750 0.750 0.750 Ag
0.375 0.875 0.375 Tl
0.875 0.375 0.375 Tl
0.375 0.375 0.375 Tl
0.375 0.375 0.875 Tl
```

Space-group type = F-43m, No. 216
Final energy = -2.760 eV/atom
DOS(E_F) = 5.58 states/eV per cell



No. 24
Sc2TlAg | PBE-GGA | relaxed

```
Sc2TlAg
1.0
-3.131 -2.033 -3.284
0.647 -4.707 -1.466
-3.194 -3.520 1.460
Sc Tl Ag
2 1 1
Direct
0.000 0.000 0.000 Sc
0.250 0.250 0.250 Sc
0.750 0.750 0.750 Tl
0.500 0.500 0.500 Ag
```

Space-group type = F-43m, No. 216
Final energy = -4.464 eV/atom
Energy above the lowest structure with this stoichiometry = 302 meV/atom
DOS(E_F) = 5.97 states/eV per cell



No. 25
Sc2TlAg2 | PBE-GGA | relaxed

```
Sc2TlAg2
1.0
3.805 0.000 0.000
0.000 3.805 0.000
1.902 1.902 7.960
Sc Tl Ag
2 1 2
Direct
0.605 0.605 0.791 Sc
0.395 0.395 0.209 Sc
0.000 0.000 0.000 Tl
0.750 0.250 0.500 Ag
0.250 0.750 0.500 Ag
```

Space-group type = I4/mmm, No. 139
Final energy = -4.119 eV/atom
Energy above the lowest structure with this stoichiometry = 252 meV/atom
DOS(E_F) = 3.87 states/eV per cell



No. 26
Sc3TlAg | PBE-GGA | relaxed

```
Sc3TlAg
1.0
-3.867 3.269 -0.610
-2.835 -4.353 -5.350
-2.004 -1.043 7.107
Ag Sc Tl
2 6 2
Direct
0.500 0.000 0.000 Ag
0.000 0.000 0.000 Ag
0.250 0.806 0.612 Sc
0.250 0.806 0.194 Sc
0.750 0.194 0.388 Sc
0.750 0.612 0.806 Sc
0.750 0.194 0.806 Sc
0.250 0.388 0.194 Sc
0.250 0.334 0.666 Tl
0.750 0.666 0.334 Tl
```

Space-group type = P6_3/mmc, No. 194
Final energy = -4.832 eV/atom
Energy above the lowest structure with this stoichiometry = 225 meV/atom
DOS(E_F) = 11.82 states/eV per cell



No. 27
Sc2TlAg | PBE-GGA | relaxed

```
Sc2TlAg
1.0
-0.315 -1.943 3.144
2.456 -2.467 -1.278
4.840 3.460 2.623
Ag Sc Tl
1 2 1
Direct
0.500 0.500 0.764 Ag
0.000 0.000 0.979 Sc
0.500 0.500 0.258 Sc
0.000 0.000 0.499 Tl
```

Space-group type = P4mm, No. 99
Final energy = -4.602 eV/atom
Energy above the lowest structure with this stoichiometry = 164 meV/atom
DOS(E_F) = 3.68 states/eV per cell